Record 1
## InSnPt (GGA-PBE)

Data for crystalline InSnPt at its relaxed geometry.

Cell lengths 5.8525, 3.7398, 3.7398 Å; angles 120.00, 90.00, 90.00 degrees
Closest atoms and distances in Å follow each position.
Fractional positions:
In 0.7087 0.6667 0.3333  3 Pt 2.78
Pt 0.0070 0.0000 0.0000  3 Sn 2.70, 3 In 2.78
Sn 0.2844 0.3333 0.6667  3 Pt 2.70

Computed properties:
The calculation puts the total energy at -4.537 eV per atom. The symmetry is P3m1. The calculation puts the size of the total moment at 0.00 Bohr magnetons per cell. The value obtained for the calculated volume is 70.9 Å³/f.u. As for the energy of formation from the pure elements: -0.2766 eV per atom.

Record 2
## InSn2Pt7 (GGA-PBE)

Data for crystalline InSn2Pt7 at its relaxed geometry.

Cell lengths 4.0223, 4.0223, 11.8032 Å; angles 99.81, 99.81, 90.00 degrees
Closest atoms and distances in Å follow each position.
Fractional positions:
Pt 0.4107 0.9107 0.8215  2 Sn 2.73, 6 Pt 2.84-2.87, 2 In 2.87
Sn 0.3302 0.3302 0.6604  8 Pt 2.72-2.73
Pt 0.5000 0.5000 0.0000  4 In 2.84, 8 Pt 2.87
Pt 0.7500 0.2500 0.5000  4 Sn 2.72, 4 Pt 2.84
Pt 0.9107 0.4107 0.8215  2 Sn 2.73, 6 Pt 2.84-2.87, 2 In 2.87
Sn 0.6698 0.6698 0.3396  8 Pt 2.72-2.73
In 0.0000 0.0000 0.0000  12 Pt 2.84-2.87
Pt 0.2500 0.7500 0.5000  4 Sn 2.72, 4 Pt 2.84
Pt 0.0893 0.5893 0.1785  2 Sn 2.73, 6 Pt 2.84-2.87, 2 In 2.87
Pt 0.5893 0.0893 0.1785  2 Sn 2.73, 6 Pt 2.84-2.87, 2 In 2.87

Computed properties:
The calculation puts the total energy at -5.667 eV per atom. The symmetry is I4/mmm. The calculation puts the size of the total moment at 0.00 Bohr magnetons per cell. The value obtained for the calculated volume is 185.3 Å³/f.u. As for the energy of formation from the pure elements: -0.3640 eV per atom.

Record 3
## InSnPt3 (GGA-PBE)

Data for crystalline InSnPt3 at its relaxed geometry.

Cell lengths 4.9752, 4.9752, 4.9752 Å; angles 90.00, 90.00, 90.00 degrees
Closest atoms and distances in Å follow each position.
Fractional positions:
Pt 0.0000 0.0000 0.5000  2 Sn 2.49
Sn 0.0000 0.0000 0.0000  6 Pt 2.49
In 0.5000 0.5000 0.5000  12 Pt 3.52
Pt 0.0000 0.5000 0.0000  2 Sn 2.49
Pt 0.5000 0.0000 0.0000  2 Sn 2.49

Computed properties:
The calculation puts the total energy at -4.335 eV per atom. The symmetry is Pm-3m. The calculation puts the size of the total moment at 0.00 Bohr magnetons per cell. The value obtained for the calculated volume is 123.1 Å³/f.u. As for the energy of formation from the pure elements: 0.6379 eV per atom.

Record 4
## In3SnPt12 (GGA-PBE)

Data for crystalline In3SnPt12 at its relaxed geometry.

Cell lengths 4.0524, 4.0524, 16.1918 Å; angles 90.00, 90.00, 90.00 degrees
Closest atoms and distances in Å follow each position.
Fractional positions:
Pt 0.0000 0.5000 0.8749  8 Pt 2.86-2.87, 2 Sn 2.86, 2 In 2.88
Pt 0.5000 0.5000 0.5000  8 Pt 2.86, 4 In 2.87
Pt 0.5000 0.0000 0.8749  8 Pt 2.86-2.87, 2 Sn 2.86, 2 In 2.88
Pt 0.0000 0.5000 0.3753  4 In 2.85-2.86, 8 Pt 2.86-2.87
Pt 0.5000 0.5000 0.0000  8 Pt 2.86, 4 Sn 2.87
Pt 0.5000 0.0000 0.1251  8 Pt 2.86-2.87, 2 Sn 2.86, 2 In 2.88
In 0.0000 0.0000 0.2513  12 Pt 2.85-2.88
Pt 0.5000 0.5000 0.7502  8 Pt 2.86-2.87, 4 In 2.87
Pt 0.0000 0.5000 0.6247  4 In 2.85-2.86, 8 Pt 2.86-2.87
Pt 0.5000 0.0000 0.6247  4 In 2.85-2.86, 8 Pt 2.86-2.87
Pt 0.5000 0.0000 0.3753  4 In 2.85-2.86, 8 Pt 2.86-2.87
In 0.0000 0.0000 0.7487  12 Pt 2.85-2.88
Pt 0.5000 0.5000 0.2498  8 Pt 2.86-2.87, 4 In 2.87
In 0.0000 0.0000 0.5000  12 Pt 2.86-2.87
Pt 0.0000 0.5000 0.1251  8 Pt 2.86-2.87, 2 Sn 2.86, 2 In 2.88
Sn 0.0000 0.0000 0.0000  12 Pt 2.86-2.87

Computed properties:
The calculation puts the total energy at -5.679 eV per atom. The symmetry is P4/mmm. The calculation puts the size of the total moment at 0.00 Bohr magnetons per cell. The value obtained for the calculated volume is 265.9 Å³/f.u. As for the energy of formation from the pure elements: -0.3846 eV per atom.

Record 5
## In4Sn2Pt (GGA-PBE)

Data for crystalline In4Sn2Pt at its relaxed geometry.

Cell lengths 5.1160, 5.1160, 8.8667 Å; angles 73.23, 73.23, 90.00 degrees
Closest atoms and distances in Å follow each position.
Fractional positions:
In 0.8330 0.8330 0.3340  1 Pt 2.70, 1 Sn 2.87
In 0.5000 0.0000 0.0000  2 Pt 2.56
Pt 0.0000 0.0000 0.0000  6 In 2.56-2.70
In 0.1670 0.1670 0.6660  1 Pt 2.70, 1 Sn 2.87
In 0.0000 0.5000 0.0000  2 Pt 2.56
Sn 0.3440 0.3440 0.3119  1 In 2.87
Sn 0.6560 0.6560 0.6881  1 In 2.87

Computed properties:
The calculation puts the total energy at -3.510 eV per atom. The symmetry is I4/mmm. The calculation puts the size of the total moment at 0.00 Bohr magnetons per cell. The value obtained for the calculated volume is 211.9 Å³/f.u. As for the energy of formation from the pure elements: 0.0613 eV per atom.

Record 6
## In2SnPt3 (GGA-PBE)

Data for crystalline In2SnPt3 at its relaxed geometry.

Cell lengths 5.3888, 5.3726, 5.3726 Å; angles 63.37, 63.83, 63.83 degrees
Closest atoms and distances in Å follow each position.
Fractional positions:
In 0.3759 0.3747 0.3747  9 Pt 3.13-3.27, 4 In 3.20-3.47, 3 Sn 3.31-3.33
Pt 0.5000 0.0000 0.0000  2 Sn 2.69, 4 Pt 2.84
In 0.6241 0.6253 0.6253  9 Pt 3.13-3.27, 4 In 3.20-3.47, 3 Sn 3.31-3.33
Pt 0.0000 0.0000 0.5000  2 Sn 2.69, 4 Pt 2.82-2.84
Pt 0.0000 0.5000 0.0000  2 Sn 2.69, 4 Pt 2.82-2.84
Sn 0.0000 0.0000 0.0000  6 Pt 2.69

Computed properties:
The calculation puts the total energy at -4.850 eV per atom. The symmetry is C2/m. The calculation puts the size of the total moment at 0.00 Bohr magnetons per cell. The value obtained for the calculated volume is 118.9 Å³/f.u. As for the energy of formation from the pure elements: -0.2494 eV per atom.

Record 7
## InSnPt3 (GGA-PBE)

Data for crystalline InSnPt3 at its relaxed geometry.

Cell lengths 4.9761, 4.9761, 4.9761 Å; angles 90.00, 90.00, 90.00 degrees
Closest atoms and distances in Å follow each position.
Fractional positions:
Pt 0.5000 0.0000 0.0000  2 In 2.49
In 0.0000 0.0000 0.0000  6 Pt 2.49
Pt 0.0000 0.5000 0.0000  2 In 2.49
Pt 0.0000 0.0000 0.5000  2 In 2.49
Sn 0.5000 0.5000 0.5000  12 Pt 3.52

Computed properties:
The calculation puts the total energy at -4.242 eV per atom. The symmetry is Pm-3m. The calculation puts the size of the total moment at 0.00 Bohr magnetons per cell. The value obtained for the calculated volume is 123.2 Å³/f.u. As for the energy of formation from the pure elements: 0.7304 eV per atom.

Record 8
## In2Sn2Pt3 (GGA-PBE)

Data for crystalline In2Sn2Pt3 at its relaxed geometry.

Cell lengths 4.2805, 5.6139, 6.7303 Å; angles 102.76, 108.54, 90.00 degrees
Closest atoms and distances in Å follow each position.
Fractional positions:
In 0.8204 0.1845 0.6408  5 Pt 2.73-2.84
Pt 0.2048 0.3320 0.4095  2 Sn 2.77, 4 In 2.81-2.84, 3 Pt 2.83-2.91
Sn 0.4345 0.6839 0.8690  4 Pt 2.77-2.78, 1 Sn 2.94
Sn 0.5655 0.3161 0.1310  4 Pt 2.77-2.78, 1 Sn 2.94
Pt 0.0000 0.0000 0.0000  2 In 2.73, 4 Sn 2.78, 2 Pt 2.83
Pt 0.7952 0.6680 0.5905  2 Sn 2.77, 4 In 2.81-2.84, 3 Pt 2.83-2.91
In 0.1796 0.8155 0.3592  5 Pt 2.73-2.84

Computed properties:
The calculation puts the total energy at -4.985 eV per atom. The symmetry is C2/m. The calculation puts the size of the total moment at 0.00 Bohr magnetons per cell. The value obtained for the calculated volume is 149.1 Å³/f.u. As for the energy of formation from the pure elements: -0.4700 eV per atom.

Record 9
## In2Sn2Pt (GGA-PBE)

Data for crystalline In2Sn2Pt at its relaxed geometry.

Cell lengths 6.9854, 6.9854, 5.2856 Å; angles 90.00, 90.00, 90.00 degrees
Closest atoms and distances in Å follow each position.
Fractional positions:
Pt 0.5000 0.5000 0.0000  4 Sn 2.66
Sn 0.1495 0.3505 0.0000  2 Pt 2.66, 1 Sn 2.95
Pt 0.0000 0.0000 0.0000  4 Sn 2.66
In 0.1696 0.6696 0.5000  6 Sn 3.19-3.46, 1 In 3.35
In 0.6696 0.8304 0.5000  6 Sn 3.19-3.46, 1 In 3.35
In 0.3304 0.1696 0.5000  6 Sn 3.19-3.46, 1 In 3.35
Sn 0.3505 0.8505 0.0000  2 Pt 2.66, 1 Sn 2.95
Sn 0.8505 0.6495 0.0000  2 Pt 2.66, 1 Sn 2.95
Sn 0.6495 0.1495 0.0000  2 Pt 2.66, 1 Sn 2.95
In 0.8304 0.3304 0.5000  6 Sn 3.19-3.46, 1 In 3.35

Computed properties:
The calculation puts the total energy at -4.003 eV per atom. The symmetry is P4/mbm. The calculation puts the size of the total moment at 0.00 Bohr magnetons per cell. The value obtained for the calculated volume is 129.0 Å³/f.u. As for the energy of formation from the pure elements: -0.0984 eV per atom.

Record 10
## SrInSnPt3 (GGA-PBE)

Data for crystalline SrInSnPt3 at its relaxed geometry.

Cell lengths 5.8791, 5.8825, 9.1960 Å; angles 108.65, 90.00, 90.00 degrees
Closest atoms and distances in Å follow each position.
Fractional positions:
In 0.7500 0.8942 0.7884  5 Pt 2.64-2.75
Pt 0.0000 0.2395 0.0000  2 Sn 2.67, 2 In 2.75, 3 Pt 2.82-2.94
Sr 0.7500 0.2233 0.4466  4 Pt 2.96-3.00
Pt 0.5000 0.7605 0.0000  2 Sn 2.67, 2 In 2.75, 3 Pt 2.82-2.94
Pt 0.7500 0.7428 0.4856  1 Sn 2.61, 1 In 2.64
Pt 0.5000 0.2395 0.0000  2 Sn 2.67, 2 In 2.75, 3 Pt 2.82-2.94
Sn 0.7500 0.5930 0.1860  5 Pt 2.61-2.67
Sr 0.2500 0.7767 0.5534  4 Pt 2.96-3.00
In 0.2500 0.1058 0.2116  5 Pt 2.64-2.75
Pt 0.2500 0.2572 0.5144  1 Sn 2.61, 1 In 2.64
Pt 0.0000 0.7605 0.0000  2 Sn 2.67, 2 In 2.75, 3 Pt 2.82-2.94
Sn 0.2500 0.4070 0.8140  5 Pt 2.61-2.67

Computed properties:
The calculation puts the total energy at -4.981 eV per atom. The symmetry is Cmcm. The calculation puts the size of the total moment at 0.00 Bohr magnetons per cell. The value obtained for the calculated volume is 150.7 Å³/f.u. As for the energy of formation from the pure elements: -0.5566 eV per atom.